1.
Density functional theory data (PBE) for a geometry-optimized Sc3Cd12Ag structure.

Summary:
space group: P4/mmm, No. 123
DFT formation energy: -3.82 kcal/mol of atoms
density: 7.65 g/cm3

a = 4.432 Å, b = 4.432 Å, c = 17.581 Å
α = 90.00°, β = 90.00°, γ = 90.00°
Atoms (fractional coordinates):
Sc  0.000  0.000  0.000
Sc  0.000  0.000  0.257
Sc  0.000  0.000  0.743
Cd  0.000  0.500  0.128
Cd  0.000  0.500  0.380
Cd  0.000  0.500  0.620
Cd  0.000  0.500  0.872
Cd  0.500  0.000  0.128
Cd  0.500  0.000  0.380
Cd  0.500  0.000  0.620
Cd  0.500  0.000  0.872
Cd  0.500  0.500  0.000
Cd  0.500  0.500  0.257
Cd  0.500  0.500  0.500
Cd  0.500  0.500  0.743
Ag  0.000  0.000  0.500



2.
Density functional theory data (PBE) for a geometry-optimized LaMnTe2 structure.

Summary:
E_form (uncorrected): -535 meV per atom
space group: R-3m, No. 166
density: 4.50 g/cm3
offset from the most stable computed form: 274 meV per atom

a = 9.082 Å, b = 9.082 Å, c = 9.082 Å
α = 29.99°, β = 29.99°, γ = 29.99°
Atoms (fractional coordinates):
La  0.000  0.000  0.000
Mn  0.500  0.500  0.500
Te  0.401  0.401  0.401
Te  0.599  0.599  0.599



3.
Density functional theory data (PBE) for a geometry-optimized Tb2TiO structure.

Summary:
E_form (uncorrected): -959 meV per atom
space group: R-3m, No. 166
density: 7.51 g/cm3

a = 8.888 Å, b = 8.888 Å, c = 8.888 Å
α = 21.73°, β = 21.73°, γ = 21.73°
Atoms (fractional coordinates):
Tb  0.112  0.112  0.112
Tb  0.888  0.888  0.888
Ti  0.000  0.000  0.000
O  0.500  0.500  0.500